DFT (GGA-PBE) results for crystalline Tl4GeI5 at its relaxed geometry.

Computed properties:
- ΔE_f (raw) (eV/atom) = -0.43
- M_tot (Bohr magnetons per cell) = 0.0
- VASP energy (eV per atom) = -2.610
- density of states at the Fermi level (states/eV per cell) = 2.7

Cell: 7.042 8.458 8.458 Å, 80.02 65.40 65.40°
Sites, in units of the cell vectors:
I 0.482 0.000 0.000
Ge 0.994 0.000 0.000
I 0.101 0.635 0.170
Tl 0.418 0.387 0.787
I 0.906 0.365 0.830
Tl 0.592 0.613 0.213
I 0.737 0.170 0.365
I 0.271 0.830 0.635
Tl 0.805 0.787 0.613
Tl 0.205 0.213 0.387

DFT (GGA-PBE) results for crystalline BeTlAg2Pt at its relaxed geometry.

Computed properties:
- M_tot (Bohr magnetons per cell) = 0.0
- ΔH_f (0 K) (eV per atom) = 0.929
- VASP energy (eV per atom) = -2.639
- density of states at the Fermi level (states/eV per cell) = 1.8

Cell: 5.203 5.188 5.203 Å, 90.00 90.00 90.00°
Sites, in units of the cell vectors:
Ag 0.500 0.000 0.000
Be 0.500 0.500 0.500
Ag 0.000 0.000 0.500
Tl 0.000 0.500 0.000
Pt 0.000 0.000 0.000

DFT (GGA-PBE) results for crystalline Y2RuI at its relaxed geometry.

Computed properties:
- ΔE_f (raw) (eV/atom) = -0.11
- M_tot (Bohr magnetons per cell) = 0.0
- VASP energy (eV per atom) = -6.044
- density of states at the Fermi level (states/eV per cell) = 6.7
- energy above the lowest structure with this stoichiometry (eV per atom) = 0.4801

Cell: 5.158 5.158 5.158 Å, 60.00 60.00 60.00°
Sites, in units of the cell vectors:
Y 0.250 0.250 0.250
Y 0.750 0.750 0.750
Ru 0.000 0.000 0.000
I 0.500 0.500 0.500

DFT (GGA-PBE) results for crystalline CaAgHgCl5 at its relaxed geometry.

Computed properties:
- ΔE_f (raw) (eV/atom) = -1.20
- M_tot (Bohr magnetons per cell) = 0.0
- VASP energy (eV per atom) = -3.001
- density of states at the Fermi level (states/eV per cell) = 0.0

Cell: 7.487 7.487 10.669 Å, 110.92 110.92 91.02°
Sites, in units of the cell vectors:
Cl 0.671 0.725 0.337
Cl 0.776 0.287 0.479
Cl 0.063 0.937 0.250
Cl 0.275 0.329 0.163
Hg 0.341 0.659 0.750
Ag 0.703 0.297 0.750
Cl 0.725 0.671 0.837
Ca 0.000 0.000 0.500
Cl 0.329 0.275 0.663
Ag 0.297 0.703 0.250
Cl 0.224 0.713 0.521
Cl 0.937 0.063 0.750
Hg 0.659 0.341 0.250
Cl 0.713 0.224 0.021
Ca 0.000 0.000 0.000
Cl 0.287 0.776 0.979

DFT (GGA-PBE) results for crystalline DyAl3ZnAg at its relaxed geometry.

Computed properties:
- M_tot (Bohr magnetons per cell) = 0.0
- ΔH_f (0 K) (eV per atom) = -0.070
- VASP energy (eV per atom) = -3.395
- density of states at the Fermi level (states/eV per cell) = 6.6

Cell: 6.253 5.940 7.055 Å, 114.90 90.00 90.00°
Sites, in units of the cell vectors:
Ag 0.750 0.660 0.320
Ag 0.250 0.340 0.680
Al 0.750 0.872 0.743
Al 0.000 0.719 0.000
Al 0.250 0.128 0.257
Dy 0.250 0.691 0.382
Dy 0.750 0.309 0.618
Zn 0.750 0.094 0.187
Al 0.000 0.281 0.000
Al 0.500 0.719 0.000
Al 0.500 0.281 0.000
Zn 0.250 0.906 0.813

DFT (GGA-PBE) results for crystalline Pd7Pt2Au2 at its relaxed geometry.

Computed properties:
- M_tot (Bohr magnetons per cell) = 0.0
- ΔH_f (0 K) (eV per atom) = 0.133
- VASP energy (eV per atom) = -4.865
- density of states at the Fermi level (states/eV per cell) = 13.7
- energy above the lowest structure with this stoichiometry (eV per atom) = 0.0000

Cell: 5.433 6.567 5.433 Å, 101.41 82.53 101.41°
Sites, in units of the cell vectors:
Pd 0.083 0.323 0.517
Pd 0.517 0.323 0.083
Pd 0.000 0.500 0.000
Pd 0.724 0.027 0.724
Pd 0.276 0.973 0.276
Au 0.204 0.000 0.796
Au 0.796 0.000 0.204
Pt 0.572 0.336 0.572
Pd 0.483 0.677 0.917
Pt 0.428 0.664 0.428
Pd 0.917 0.677 0.483